1.
4
Lattice="-2.1332 2.1332 4.3593 2.1332 -2.1332 4.3593 2.1332 2.1332 -4.3593" Properties=species:S:1:pos:R:3 comment="PBE-GGA InNiHg2, relaxed" e_form_ev_per_atom=0.25 spacegroup="I4/mmm, No. 139" pbc="T T T"
In 0.0000 0.0000 0.0000
Ni 0.0000 0.0000 4.3593
Hg 2.1332 0.0000 2.1796
Hg 0.0000 2.1332 2.1796

***

2.
4
Lattice="6.3869 -1.6364 0.0000 6.3869 1.6364 0.0000 -0.6828 0.0000 2.9182" Properties=species:S:1:pos:R:3 comment="PBE-GGA BP3, relaxed" relative_energy_ev_per_atom=0.073 e_form_ev_per_atom=0.08 spacegroup="Cm, No. 8" pbc="T T T"
B 0.0000 0.0000 0.0000
P 3.4455 0.0000 0.8549
P 7.4597 0.0000 0.2401
P 11.2812 0.0000 1.1895

***

3.
5
Lattice="4.4592 0.0000 0.0000 0.0000 4.4592 0.0000 0.0000 0.0000 4.4592" Properties=species:S:1:pos:R:3 comment="PBE-GGA KRe3Pd, relaxed" relative_energy_ev_per_atom=1.057 e_form_ev_per_atom=3.72 spacegroup="Pm-3m, No. 221" pbc="T T T"
K 0.0000 0.0000 0.0000
Re 0.0000 0.0000 2.2296
Re 0.0000 2.2296 0.0000
Re 2.2296 0.0000 0.0000
Pd 2.2296 2.2296 2.2296

***

4.
5
Lattice="6.7800 0.0000 0.0000 0.0000 6.7800 0.0000 0.0000 0.0000 5.2684" Properties=species:S:1:pos:R:3 comment="PBE-GGA K2TaTeC, relaxed" formation_energy_uncorrected_ev_per_fu=8.62 spacegroup="P4/mmm, No. 123" pbc="T T T"
K 0.0000 3.3900 0.0000
K 3.3900 0.0000 0.0000
Ta 0.0000 0.0000 2.6342
Te 0.0000 0.0000 0.0000
C 3.3900 3.3900 2.6342

***

5.
4
Lattice="0.0000 3.6418 3.6418 3.6418 0.0000 3.6418 3.6418 3.6418 0.0000" Properties=species:S:1:pos:R:3 comment="PBE-GGA LaIn2Cu, relaxed" e_form_ev_per_atom=-0.24 spacegroup="F-43m, No. 216" pbc="T T T"
La 0.0000 0.0000 0.0000
In 1.8209 1.8209 1.8209
In 3.6418 3.6418 3.6418
Cu 5.4628 5.4628 5.4628

***

6.
8
Lattice="-2.5870 2.5870 5.4768 2.5870 -2.5870 5.4768 2.5870 2.5870 -5.4768" Properties=species:S:1:pos:R:3 comment="PBE-GGA V2BSb, relaxed" relative_energy_ev_per_atom=0.039 formation_energy_uncorrected_ev_per_fu=2.57 spacegroup="I-42d, No. 122" pbc="T T T"
V 3.8805 0.6860 -1.3692
V 0.6860 1.2935 1.3692
V -1.2935 1.9010 4.1076
V 1.9010 1.2935 6.8460
B 0.0000 0.0000 0.0000
B 0.0000 2.5870 2.7384
Sb 2.5870 0.0000 2.7384
Sb 0.0000 0.0000 5.4768

***

7.
4
Lattice="2.0134 1.1624 7.2299 -2.0134 1.1624 7.2299 0.0000 -2.3249 7.2299" Properties=species:S:1:pos:R:3 comment="PBE-GGA HoThRuSe, relaxed" formation_energy_uncorrected_ev_per_fu=-3.90 spacegroup="R3m, No. 160" pbc="T T T"
Ho 0.0000 0.0000 0.0000
Th 0.0000 0.0000 4.0983
Ru 0.0000 0.0000 12.7923
Se 0.0000 0.0000 16.3867

***

8.
5
Lattice="4.6225 0.0000 0.0000 0.0000 4.6225 0.0000 0.0000 0.0000 5.3050" Properties=species:S:1:pos:R:3 comment="PBE-GGA Sb2IOF, relaxed" relative_energy_ev_per_atom=0.000 formation_energy_uncorrected_ev_per_fu=-0.54 spacegroup="P4/mmm, No. 123" pbc="T T T"
Sb 0.0000 2.3112 0.0000
Sb 2.3112 0.0000 0.0000
I 0.0000 0.0000 2.6525
O 0.0000 0.0000 0.0000
F 2.3112 2.3112 2.6525

***

9.
7
Lattice="2.6040 1.5034 8.7293 -2.6040 1.5034 8.7293 0.0000 -3.0069 8.7293" Properties=species:S:1:pos:R:3 comment="PBE-GGA CaPm2Hg4, relaxed" relative_energy_ev_per_atom=0.000 e_form_ev_per_atom=-0.36 spacegroup="R-3m, No. 166" pbc="T T T"
Ca 0.0000 0.0000 0.0000
Pm 0.0000 0.0000 6.4518
Pm 0.0000 0.0000 19.7362
Hg 0.0000 0.0000 3.3067
Hg 0.0000 0.0000 9.8095
Hg 0.0000 0.0000 16.3785
Hg 0.0000 0.0000 22.8813

***

10.
10
Lattice="4.5446 0.0000 0.0000 0.0000 4.5446 0.0000 0.0000 0.0000 10.3125" Properties=species:S:1:pos:R:3 comment="PBE-GGA K2InGe3Pt4, relaxed" e_form_ev_per_atom=-0.43 spacegroup="P-4m2, No. 115" pbc="T T T"
K 0.0000 2.2723 2.5180
K 2.2723 0.0000 7.7945
In 0.0000 0.0000 5.1563
Ge 0.0000 2.2723 9.1280
Ge 2.2723 0.0000 1.1845
Ge 2.2723 2.2723 5.1563
Pt 0.0000 0.0000 0.0000
Pt 0.0000 2.2723 6.5902
Pt 2.2723 0.0000 3.7224
Pt 2.2723 2.2723 0.0000

***

> Number 7 is which compound?

HoThRuSe